This record from Alexandria via LeMat-Bulk describes a geometry-optimized RbTlGa2I4 structure. The functional is PBE.

The space group is P2/m (No. 10) and the conventional cell measures 8.494, 4.911 and 8.569 Å, with angles of 90.00, 109.34 and 90.00 degrees. The distinct sites, in fractional coordinates, are Rb at (0.000, 0.000, 0.000), Tl at (0.500, 0.500, 0.000), Ga at (0.000, 0.500, 0.500), Ga at (0.500, 0.000, 0.500), I at (0.246, 0.000, 0.728) and I at (0.262, 0.500, 0.276).

The energy is -21.16 eV/cell. For the magnetic moment, the calculation gives 0.00 Bohr magnetons per cell. The formation energy without anion corrections comes out at -696 meV per atom. The density of states at the Fermi level comes out at 0.00 states/eV/cell.